First-principles (PBE-GGA) data for Fe2GeWCl after structural relaxation, as listed in the Alexandria database.

The energy relative to the elements, uncorrected is 1.113 eV per atom.

Geometry as CIF:
```
data_Fe2GeWCl
_cell_length_a 4.0908
_cell_length_b 4.0908
_cell_length_c 4.5617
_cell_angle_alpha 90.00
_cell_angle_beta 90.00
_cell_angle_gamma 90.00
_space_group_name_H-M_alt 'P 4/m m m'
_space_group_IT_number 123
_space_group_name_Hall '-P 4 2'
loop_
_atom_site_label
_atom_site_fract_x
_atom_site_fract_y
_atom_site_fract_z
_atom_site_occupancy
Fe1 0.0000 0.5000 0.0000 1
Ge1 0.0000 0.0000 0.5000 1
W1 0.5000 0.5000 0.5000 1
Cl1 0.5000 0.5000 0.0000 1
```

***

First-principles (PBE-GGA) data for FeH2Cl2 after structural relaxation, as listed in the Alexandria database.

Its energy above the most stable polymorph in this dataset is 0.354 eV/atom.

Geometry as CIF:
```
data_FeH2Cl2
_cell_length_a 4.4993
_cell_length_b 4.4993
_cell_length_c 6.3927
_cell_angle_alpha 90.00
_cell_angle_beta 90.00
_cell_angle_gamma 90.00
_space_group_name_H-M_alt 'I 4/m m m'
_space_group_IT_number 139
_space_group_name_Hall '-I 4 2'
loop_
_atom_site_label
_atom_site_fract_x
_atom_site_fract_y
_atom_site_fract_z
_atom_site_occupancy
Fe1 0.0000 0.0000 0.0000 1
H1 0.0000 0.0000 0.4417 1
Cl1 0.0000 0.5000 0.2500 1
```

***

First-principles (PBE-GGA) data for FeHCl3 after structural relaxation, as listed in the Alexandria database.

Its energy above the most stable polymorph in this dataset is 0.646 eV/atom.

Geometry as CIF:
```
data_FeHCl3
_cell_length_a 4.3638
_cell_length_b 4.3638
_cell_length_c 4.3638
_cell_angle_alpha 90.00
_cell_angle_beta 90.00
_cell_angle_gamma 90.00
_space_group_name_H-M_alt 'P m -3 m'
_space_group_IT_number 221
_space_group_name_Hall '-P 4 2 3'
loop_
_atom_site_label
_atom_site_fract_x
_atom_site_fract_y
_atom_site_fract_z
_atom_site_occupancy
Fe1 0.0000 0.0000 0.0000 1
H1 0.5000 0.5000 0.5000 1
Cl1 0.0000 0.5000 0.5000 1
```

***

First-principles (PBE-GGA) data for FeHCl2 after structural relaxation, as listed in the Alexandria database.

Its energy above the most stable polymorph in this dataset is 0.456 eV/atom.

Geometry as CIF:
```
data_FeHCl2
_cell_length_a 6.2674
_cell_length_b 6.2674
_cell_length_c 6.2674
_cell_angle_alpha 90.00
_cell_angle_beta 90.00
_cell_angle_gamma 90.00
_space_group_name_H-M_alt 'F m -3 m'
_space_group_IT_number 225
_space_group_name_Hall '-F 4 2 3'
loop_
_atom_site_label
_atom_site_fract_x
_atom_site_fract_y
_atom_site_fract_z
_atom_site_occupancy
Fe1 0.0000 0.0000 0.0000 1
H1 0.0000 0.0000 0.5000 1
Cl1 0.2500 0.2500 0.2500 1
```

***

First-principles (PBE-GGA) data for FeH2Cl8 after structural relaxation, as listed in the Alexandria database.

The calculation puts the final energy at -33.71 eV/f.u.

Geometry as CIF:
```
data_FeH2Cl8
_cell_length_a 5.2464
_cell_length_b 8.1059
_cell_length_c 8.1193
_cell_angle_alpha 72.26
_cell_angle_beta 88.01
_cell_angle_gamma 88.56
_space_group_name_H-M_alt 'P -1'
_space_group_IT_number 2
loop_
_space_group_symop_operation_xyz
'x,y,z'
'-x,-y,-z'
loop_
_atom_site_label
_atom_site_fract_x
_atom_site_fract_y
_atom_site_fract_z
_atom_site_occupancy
Fe1 0.0000 0.0000 0.0000 1
H1 0.3220 0.7707 0.6804 1
Cl1 0.0074 0.9680 0.7426 1
Cl2 0.2447 0.2424 0.8971 1
Cl3 0.2798 0.7667 0.0947 1
Cl4 0.4820 0.6764 0.6216 1
```

***

First-principles (PBE-GGA) data for FeH2Cl2 after structural relaxation, as listed in the Alexandria database.

Its energy above the most stable polymorph in this dataset is 0.000 eV/atom.

Geometry as CIF:
```
data_FeH2Cl2
_cell_length_a 5.3678
_cell_length_b 5.3172
_cell_length_c 14.6162
_cell_angle_alpha 90.00
_cell_angle_beta 90.59
_cell_angle_gamma 90.00
_space_group_name_H-M_alt 'C 1 2/c 1'
_space_group_IT_number 15
loop_
_space_group_symop_operation_xyz
'x,y,z'
'-x,-y,-z'
'-x,y,-z+1/2'
'x,-y,z+1/2'
'x+1/2,y+1/2,z'
'-x+1/2,-y+1/2,-z'
'-x+1/2,y+1/2,-z+1/2'
'x+1/2,-y+1/2,z+1/2'
loop_
_atom_site_label
_atom_site_fract_x
_atom_site_fract_y
_atom_site_fract_z
_atom_site_occupancy
Fe1 0.0000 0.0203 0.2500 1
H1 0.2077 0.3044 0.9946 1
Cl1 0.2467 0.2309 0.6602 1
```

***

First-principles (PBE-GGA) data for FeH2Cl4 after structural relaxation, as listed in the Alexandria database.

The calculation puts the final energy at -26.45 eV/f.u.

Geometry as CIF:
```
data_FeH2Cl4
_cell_length_a 3.5762
_cell_length_b 6.0095
_cell_length_c 7.4254
_cell_angle_alpha 92.86
_cell_angle_beta 100.23
_cell_angle_gamma 97.56
_space_group_name_H-M_alt 'P -1'
_space_group_IT_number 2
loop_
_space_group_symop_operation_xyz
'x,y,z'
'-x,-y,-z'
loop_
_atom_site_label
_atom_site_fract_x
_atom_site_fract_y
_atom_site_fract_z
_atom_site_occupancy
Fe1 0.0000 0.0000 0.0000 1
H1 0.3015 0.4771 0.2224 1
Cl1 0.1520 0.2909 0.2871 1
Cl2 0.4941 0.7984 0.1449 1
```

***

First-principles (PBE-GGA) data for FeH3Cl after structural relaxation, as listed in the Alexandria database.

Its energy above the most stable polymorph in this dataset is 0.833 eV/atom.

Geometry as CIF:
```
data_FeH3Cl
_cell_length_a 3.6894
_cell_length_b 3.6894
_cell_length_c 3.6894
_cell_angle_alpha 90.00
_cell_angle_beta 90.00
_cell_angle_gamma 90.00
_space_group_name_H-M_alt 'P m -3 m'
_space_group_IT_number 221
_space_group_name_Hall '-P 4 2 3'
loop_
_atom_site_label
_atom_site_fract_x
_atom_site_fract_y
_atom_site_fract_z
_atom_site_occupancy
Fe1 0.0000 0.0000 0.0000 1
H1 0.0000 0.5000 0.5000 1
Cl1 0.5000 0.5000 0.5000 1
```

***

First-principles (PBE-GGA) data for Fe2HCl8 after structural relaxation, as listed in the Alexandria database.

The calculation puts the final energy at -41.72 eV/f.u.

Geometry as CIF:
```
data_Fe2HCl8
_cell_length_a 12.1357
_cell_length_b 8.2355
_cell_length_c 7.3937
_cell_angle_alpha 90.00
_cell_angle_beta 102.06
_cell_angle_gamma 90.00
_space_group_name_H-M_alt 'C 1 m 1'
_space_group_IT_number 8
loop_
_space_group_symop_operation_xyz
'x,y,z'
'x,-y,z'
'x+1/2,y+1/2,z'
'x+1/2,-y+1/2,z'
loop_
_atom_site_label
_atom_site_fract_x
_atom_site_fract_y
_atom_site_fract_z
_atom_site_occupancy
Fe1 0.0000 0.0000 0.0000 1
Fe2 0.1330 0.5000 0.4477 1
H1 0.3175 0.5000 0.2249 1
Cl1 0.1792 0.0000 0.0524 1
Cl2 0.1853 0.5000 0.1635 1
Cl3 0.1970 0.2777 0.5790 1
Cl4 0.4358 0.2778 0.8689 1
Cl5 0.4478 0.5000 0.2856 1
Cl6 0.4538 0.0000 0.3974 1
```

***

First-principles (PBE-GGA) data for FeHCl3 after structural relaxation, as listed in the Alexandria database.

Its energy above the most stable polymorph in this dataset is 0.000 eV/atom.

Geometry as CIF:
```
data_FeHCl3
_cell_length_a 16.3291
_cell_length_b 11.3852
_cell_length_c 3.3647
_cell_angle_alpha 90.00
_cell_angle_beta 101.79
_cell_angle_gamma 90.00
_space_group_name_H-M_alt 'C 1 2/m 1'
_space_group_IT_number 12
loop_
_space_group_symop_operation_xyz
'x,y,z'
'-x,-y,-z'
'-x,y,-z'
'x,-y,z'
'x+1/2,y+1/2,z'
'-x+1/2,-y+1/2,-z'
'-x+1/2,y+1/2,-z'
'x+1/2,-y+1/2,z'
loop_
_atom_site_label
_atom_site_fract_x
_atom_site_fract_y
_atom_site_fract_z
_atom_site_occupancy
Fe1 0.1883 0.0000 0.1914 1
H1 0.0000 0.3454 0.0000 1
Cl1 0.1494 0.1392 0.6526 1
Cl2 0.1775 0.5000 0.6759 1
```

***

First-principles (PBE-GGA) data for FeH2Cl6 after structural relaxation, as listed in the Alexandria database.

The calculation puts the final energy at -31.14 eV/f.u.

Geometry as CIF:
```
data_FeH2Cl6
_cell_length_a 15.1930
_cell_length_b 14.2229
_cell_length_c 5.9109
_cell_angle_alpha 90.00
_cell_angle_beta 111.82
_cell_angle_gamma 90.00
_space_group_name_H-M_alt 'C 1 2/c 1'
_space_group_IT_number 15
loop_
_space_group_symop_operation_xyz
'x,y,z'
'-x,-y,-z'
'-x,y,-z+1/2'
'x,-y,z+1/2'
'x+1/2,y+1/2,z'
'-x+1/2,-y+1/2,-z'
'-x+1/2,y+1/2,-z+1/2'
'x+1/2,-y+1/2,z+1/2'
loop_
_atom_site_label
_atom_site_fract_x
_atom_site_fract_y
_atom_site_fract_z
_atom_site_occupancy
Fe1 0.0000 0.1974 0.2500 1
H1 0.1899 0.4792 0.3103 1
Cl1 0.0883 0.2648 0.5753 1
Cl2 0.1019 0.1295 0.1392 1
Cl3 0.1903 0.4248 0.1329 1
```

***

First-principles (PBE-GGA) data for FeH3Cl after structural relaxation, as listed in the Alexandria database.

Its energy above the most stable polymorph in this dataset is 0.000 eV/atom.

Geometry as CIF:
```
data_FeH3Cl
_cell_length_a 3.5440
_cell_length_b 3.5440
_cell_length_c 3.5440
_cell_angle_alpha 90.00
_cell_angle_beta 90.00
_cell_angle_gamma 90.00
_space_group_name_H-M_alt 'P m -3 m'
_space_group_IT_number 221
_space_group_name_Hall '-P 4 2 3'
loop_
_atom_site_label
_atom_site_fract_x
_atom_site_fract_y
_atom_site_fract_z
_atom_site_occupancy
Fe1 0.0000 0.0000 0.0000 1
H1 0.0000 0.0000 0.5000 1
Cl1 0.5000 0.5000 0.5000 1
```

***

First-principles (PBE-GGA) data for FeH2Cl2 after structural relaxation, as listed in the Alexandria database.

Its energy above the most stable polymorph in this dataset is 0.973 eV/atom.

Geometry as CIF:
```
data_FeH2Cl2
_cell_length_a 6.3326
_cell_length_b 6.3326
_cell_length_c 3.6159
_cell_angle_alpha 90.00
_cell_angle_beta 90.00
_cell_angle_gamma 90.00
_space_group_name_H-M_alt 'P 4/m b m'
_space_group_IT_number 127
_space_group_name_Hall '-P 4 2ab'
loop_
_atom_site_label
_atom_site_fract_x
_atom_site_fract_y
_atom_site_fract_z
_atom_site_occupancy
Fe1 0.0000 0.0000 0.0000 1
H1 0.2290 0.2710 0.0000 1
Cl1 0.2193 0.2807 0.5000 1
```

***

| no. | total magnetization (μB per cell) |
| --- | --- |
| 1 | 2.68 |
| 2 | 8.00 |
| 3 | 4.08 |
| 4 | 20.00 |
| 5 | 3.06 |
| 6 | 16.00 |
| 7 | 4.00 |
| 8 | 3.67 |
| 9 | 18.00 |
| 10 | 24.02 |
| 11 | 16.00 |
| 12 | 2.84 |
| 13 | 6.38 |